Record 1
The following is a DFT calculation (GGA-PBE) of a geometry-optimized Al2TcGeCl structure.

Lattice parameters (Å, degrees): 4.9640 4.8686 4.9640 90.00 90.00 90.00
Site moments in Bohr magnetons follow the coordinates.
Sites, in units of the cell vectors:
Ge  0.0000  0.0000  0.0000  0.02
Al  0.0000  0.0000  0.5000  -0.02
Al  0.5000  0.0000  0.0000  -0.02
Tc  0.5000  0.5000  0.5000  3.28
Cl  0.0000  0.5000  0.0000  0.03

Properties
- space group = P4/mmm (123)
- final energy (eV/cell) = -18.89

---

Record 2
The following is a DFT calculation (GGA-PBE) of a geometry-optimized InFeI6 structure.

Lattice parameters (Å, degrees): 8.3237 7.2858 7.3237 99.94 106.50 124.86
Site moments in Bohr magnetons follow the coordinates.
Sites, in units of the cell vectors:
In  0.5000  0.0000  0.0000  -0.01
Fe  0.0000  0.0000  0.0000  2.68
I  0.9306  0.1503  0.2949  0.02
I  0.6357  0.8553  0.7051  0.02
I  0.3643  0.1447  0.2949  0.02
I  0.0694  0.8497  0.7051  0.02
I  0.2567  0.5110  0.0000  0.07
I  0.7433  0.4890  0.0000  0.07

Properties
- space group = C2/m (12)
- final energy (eV/cell) = -22.08

---

Record 3
The following is a DFT calculation (GGA-PBE) of a geometry-optimized Y3Tl3Zn2 structure.

Lattice parameters (Å, degrees): 3.8709 7.7254 7.7254 120.00 90.00 90.00
Sites, in units of the cell vectors:
Y  0.5000  0.3933  0.3933
Y  0.5000  0.6067  0.0000
Y  0.5000  0.0000  0.6067
Tl  0.0000  0.7483  0.7483
Tl  0.0000  0.2517  0.0000
Tl  0.0000  0.0000  0.2517
Zn  0.0000  0.3333  0.6667
Zn  0.0000  0.6667  0.3333

Properties
- space group = P-62m (189)
- final energy (eV/cell) = -31.52
- energy relative to the elements (eV/atom) = -0.3104

---

Record 4
The following is a DFT calculation (GGA-PBE) of a geometry-optimized YAlZn structure.

Lattice parameters (Å, degrees): 4.1804 4.1804 11.3726 90.00 90.00 120.00
Site moments in Bohr magnetons follow the coordinates.
Sites, in units of the cell vectors:
Y  0.0000  0.0000  0.0000  0.10
Y  0.0000  0.0000  0.5000  0.09
Zn  0.3333  0.6667  0.2500  -0.01
Zn  0.6667  0.3333  0.7500  -0.01
Al  0.0000  0.0000  0.2500  0.01
Al  0.0000  0.0000  0.7500  0.01

Properties
- space group = P6_3/mmc (194)
- final energy (eV/cell) = -19.95
- energy relative to the elements (eV/atom) = 0.5024